(1)
DFT (PBE-GGA) results for crystalline KIn2NiHg at its relaxed geometry.

The structure in extended XYZ format:
```
5
Lattice="4.974 0.000 0.000 0.000 4.974 0.000 0.000 0.000 6.149" Properties=species:S:1:pos:R:3 pbc="T T T"
Ni 0.000 0.000 0.000
In 0.000 2.487 0.000
In 2.487 0.000 0.000
Hg 2.487 2.487 3.074
K 0.000 0.000 3.074
```

## Properties
Crystal system: tetragonal
N(E_F): 3.1 states/eV per cell
Energy of formation: 14 meV per atom
Calculated volume: 30.43 A^3/atom

=====

(2)
DFT (PBE-GGA) results for crystalline K2InHgO at its relaxed geometry.

The structure in extended XYZ format:
```
5
Lattice="5.486 0.000 0.000 0.000 5.486 0.000 0.000 0.000 4.794" Properties=species:S:1:pos:R:3 pbc="T T T"
Hg 2.743 2.743 2.397
K 0.000 2.743 0.000
In 0.000 0.000 2.397
K 2.743 0.000 0.000
O 0.000 0.000 0.000
```

## Properties
Crystal system: tetragonal
Formation energy (no corrections): -575 meV/atom
N(E_F): 2.3 states/eV per cell
Calculated volume: 28.86 A^3/atom

=====

(3)
DFT (PBE-GGA) results for crystalline KInHgP2 at its relaxed geometry.

The structure in extended XYZ format:
```
5
Lattice="-4.022 -1.211 3.836 0.147 -5.756 -1.663 4.020 -1.022 3.893" Properties=species:S:1:pos:R:3 pbc="T T T"
In 0.073 -3.994 3.033
K 0.000 0.000 0.000
P -2.011 -0.605 1.918
P 2.010 -0.511 1.946
Hg 0.074 -2.878 -0.831
```

## Properties
Crystal system: tetragonal
N(E_F): 3.4 states/eV per cell
Energy of formation: 1166 meV per atom
Calculated volume: 38.78 A^3/atom

=====

(4)
DFT (PBE-GGA) results for crystalline KInHg2Pb4 at its relaxed geometry.

The structure in extended XYZ format:
```
8
Lattice="-0.927 0.950 -5.252 -4.856 -2.363 0.429 -3.791 8.179 2.149" Properties=species:S:1:pos:R:3 pbc="T T T"
Pb -3.110 0.289 0.601
Hg -5.365 4.631 -1.009
K -1.895 4.089 1.074
Pb -1.145 1.946 -2.240
Pb -3.572 7.183 -0.864
In 0.000 0.000 0.000
Pb -5.537 5.526 1.977
Hg -4.208 2.135 -1.665
```

## Properties
Crystal system: tetragonal
N(E_F): 3.1 states/eV per cell
Energy of formation: -46 meV per atom
Calculated volume: 34.00 A^3/atom